NaSn2F8: optimized geometry, GGA-PBE.

```
NaSn2F8
1.0
4.2721 0.0000 -0.0001
-0.0006 6.1614 -3.5570
0.0003 -0.0020 7.1147
Na Sn F
1 2 8
Direct
0.0000 0.0000 0.0000
0.2475 0.3333 0.6667
0.7525 0.6667 0.3333
0.2534 0.6667 0.3333
0.7466 0.3333 0.6667
0.7528 0.8257 0.1720
0.2472 0.1721 0.3464
0.2473 0.6537 0.8257
0.2472 0.1743 0.8279
0.7528 0.8279 0.6536
0.7527 0.3463 0.1743
```

For the size of the total moment, the calculation gives 0.000 μB/atom. The energy comes out at -4.555 eV/atom.

---

NaSn2F8: optimized geometry, GGA-PBE.

```
NaSn2F8
1.0
-4.4292 -2.2837 -2.3660
3.7164 -0.8398 -4.1763
2.7751 -4.7372 1.3477
Na Sn F
1 2 8
Direct
0.0000 0.0000 0.0000
0.4432 0.6875 0.6875
0.5568 0.3125 0.3125
0.3425 0.3348 0.9517
0.6575 0.0483 0.6652
0.1628 0.7967 0.7967
0.8372 0.2033 0.2033
0.3425 0.9517 0.3348
0.6575 0.6652 0.0483
0.7259 0.5542 0.5542
0.2741 0.4458 0.4458
```

For the size of the total moment, the calculation gives 0.000 μB/atom. The energy comes out at -4.641 eV/atom.

---

Which value of energy does entry 2 give? -4.641 eV/atom

---

size of the total moment of number 1 (NaSn2F8)? 0.000 μB/atom